#1
CuAg2H2 | PBE | relaxed

Cell lengths 3.3578, 3.3578, 5.5369 Å; angles 72.35, 72.35, 90.00 degrees
Closest atoms and distances in Å follow each position.
Element x y z (fractional)
Cu1 0.0000 0.0000 0.0000  8 Ag 2.77, 8 H 3.01
H1 0.2500 0.7500 0.5000  4 Ag 1.99
H2 0.7500 0.2500 0.5000  4 Ag 1.99
Ag1 0.3571 0.3571 0.2859  4 H 1.99
Ag2 0.6429 0.6429 0.7141  4 H 1.99

Output
D(E_F)	0.988	states/eV per cell

#2
CuAg2H2 | PBE | relaxed

Cell lengths 5.6999, 5.6999, 3.7933 Å; angles 90.00, 90.00, 90.00 degrees
Closest atoms and distances in Å follow each position.
Element x y z (fractional)
Cu1 0.0000 0.0000 0.0000  4 H 2.02
Cu2 0.5000 0.5000 0.0000  4 H 2.02
Ag1 0.2555 0.2445 0.5000  2 H 1.90
Ag2 0.2445 0.7445 0.5000  2 H 1.90
Ag3 0.7555 0.2555 0.5000  2 H 1.90
Ag4 0.7445 0.7555 0.5000  2 H 1.90
H1 0.7464 0.7536 0.0000  2 Ag 1.90, 2 Cu 2.02
H2 0.2464 0.7464 0.0000  2 Ag 1.90, 2 Cu 2.02
H3 0.7536 0.2536 0.0000  2 Ag 1.90, 2 Cu 2.02
H4 0.2536 0.2464 0.0000  2 Ag 1.90, 2 Cu 2.02

Output
D(E_F)	1.622	states/eV per cell

The structure with the greatest stability is #2.

#1
Cu2AgH | PBE | relaxed

Cell lengths 5.5343, 5.5343, 4.9859 Å; angles 56.29, 56.29, 90.00 degrees
Closest atoms and distances in Å follow each position.
Element x y z (fractional)
H1 0.2500 0.7500 0.5000  4 Cu 1.68
H2 0.5000 0.5000 0.0000  4 Cu 1.68
Cu1 0.3750 0.5254 0.7500  2 H 1.68
Cu2 0.2754 0.6250 0.2500  2 H 1.68
Cu3 0.4746 0.1250 0.2500  2 H 1.68
Cu4 0.8750 0.7246 0.7500  2 H 1.68
Ag1 0.0000 0.0000 0.0000  8 Cu 2.72-2.75
Ag2 0.7500 0.2500 0.5000  8 Cu 2.72-2.75

Output
D(E_F)	1.174	states/eV per cell

#2
Cu2AgH | PBE | relaxed

Cell lengths 4.1731, 4.1731, 4.1731 Å; angles 60.00, 60.00, 60.00 degrees
Closest atoms and distances in Å follow each position.
Element x y z (fractional)
Ag1 0.5000 0.5000 0.5000  8 Cu 2.56
H1 0.0000 0.0000 0.0000  8 Cu 2.56
Cu1 0.2500 0.2500 0.2500  4 H 2.56, 4 Ag 2.56
Cu2 0.7500 0.7500 0.7500  4 Ag 2.56, 4 H 2.56

Output
D(E_F)	1.285	states/eV per cell

#3
Cu2AgH | PBE | relaxed

Cell lengths 2.7764, 2.7764, 6.8681 Å; angles 78.34, 78.34, 60.00 degrees
Closest atoms and distances in Å follow each position.
Element x y z (fractional)
Ag1 0.5000 0.5000 0.5000  6 Cu 2.77, 6 Ag 2.78
Cu1 0.2796 0.2796 0.1612  3 H 1.93
Cu2 0.7204 0.7204 0.8388  3 H 1.93
H1 0.0000 0.0000 0.0000  6 Cu 1.93

Output
D(E_F)	0.706	states/eV per cell

The structure with the greatest stability is #3.

#1
CuAgH3 | PBE | relaxed

Cell lengths 3.4972, 3.4972, 3.4972 Å; angles 90.00, 90.00, 90.00 degrees
Closest atoms and distances in Å follow each position.
Element x y z (fractional)
Ag1 0.5000 0.5000 0.5000  12 H 2.47
H1 0.5000 0.0000 0.0000  2 Cu 1.75
H2 0.0000 0.0000 0.5000  2 Cu 1.75
H3 0.0000 0.5000 0.0000  2 Cu 1.75
Cu1 0.0000 0.0000 0.0000  6 H 1.75

Output
D(E_F)	0.699	states/eV per cell

#2
CuAgH3 | PBE | relaxed

Cell lengths 3.6222, 3.6222, 3.6222 Å; angles 90.00, 90.00, 90.00 degrees
Closest atoms and distances in Å follow each position.
Element x y z (fractional)
H1 0.0000 0.5000 0.0000  2 Ag 1.81
H2 0.5000 0.0000 0.0000  2 Ag 1.81
H3 0.0000 0.0000 0.5000  2 Ag 1.81
Cu1 0.5000 0.5000 0.5000  12 H 2.56
Ag1 0.0000 0.0000 0.0000  6 H 1.81

Output
D(E_F)	0.784	states/eV per cell

The structure with the greatest stability is #1.

#1
La2CuAgH | PBE | relaxed

Cell lengths 5.1293, 5.1293, 4.0958 Å; angles 90.00, 90.00, 90.00 degrees
Closest atoms and distances in Å follow each position.
Element x y z (fractional)
Ag1 0.0000 0.0000 0.5000  2 H 2.05
La1 0.5000 0.0000 0.0000  2 H 2.56
La2 0.0000 0.5000 0.0000  2 H 2.56
Cu1 0.5000 0.5000 0.5000  8 La 3.28, 4 Ag 3.63
H1 0.0000 0.0000 0.0000  2 Ag 2.05

Output
D(E_F)	4.443	states/eV per cell

#2
La2CuAgH | PBE | relaxed

Cell lengths 5.4908, 4.8337, 5.4908 Å; angles 90.00, 90.00, 90.00 degrees
Closest atoms and distances in Å follow each position.
Element x y z (fractional)
La1 0.5000 0.0000 0.0000  2 Cu 2.75
La2 0.0000 0.0000 0.5000  2 Cu 2.75
H1 0.5000 0.5000 0.5000  8 La 3.66, 4 Ag 3.88
Cu1 0.0000 0.0000 0.0000  2 Ag 2.42
Ag1 0.0000 0.5000 0.0000  2 Cu 2.42

Output
D(E_F)	4.694	states/eV per cell

#3
La2CuAgH | PBE | relaxed

Cell lengths 5.2215, 5.2215, 3.8964 Å; angles 90.00, 90.00, 90.00 degrees
Closest atoms and distances in Å follow each position.
Element x y z (fractional)
Ag1 0.5000 0.5000 0.5000  8 La 3.26
La1 0.5000 0.0000 0.0000  2 H 2.61
La2 0.0000 0.5000 0.0000  2 H 2.61
Cu1 0.0000 0.0000 0.5000  2 H 1.95
H1 0.0000 0.0000 0.0000  2 Cu 1.95

Output
D(E_F)	3.987	states/eV per cell

The structure with the greatest stability is #3.